{
  "formula": "YMn2Si",
  "functional": "PBE",
  "state": "relaxed",
  "total_magnetization_mub_per_cell": 2.82,
  "raw_formation_energy_ev_per_atom": 0.15,
  "crystal_system": "cubic",
  "energy_ev_per_atom": -7.41,
  "n_ef_per_ev_atom": 0.664,
  "lattice_angstrom": [[4.522, 0.000, 0.000], [2.261, 3.916, 0.000], [2.261, 1.305, 3.692]],
  "species": ["Mn", "Mn", "Si", "Y"],
  "frac_coords": [[0.000, 0.000, 0.000], [0.750, 0.750, 0.750], [0.500, 0.500, 0.500], [0.250, 0.250, 0.250]]
}

=====

{
  "formula": "Na3PW",
  "functional": "PBE",
  "state": "relaxed",
  "polymorph_energy_mev_per_atom": 580,
  "total_magnetization_mub_per_cell": 5.36,
  "crystal_system": "cubic",
  "energy_ev_per_atom": -2.65,
  "n_ef_per_ev_atom": 2.483,
  "lattice_angstrom": [[-3.891, 3.410, 2.399], [-4.089, -2.478, -3.108], [-0.816, -3.841, 4.135]],
  "species": ["P", "W", "Na", "Na", "Na"],
  "frac_coords": [[0.500, 0.500, 0.500], [0.000, 0.000, 0.000], [0.000, 0.500, 0.000], [0.000, 0.000, 0.500], [0.500, 0.000, 0.000]]
}